Material: Cd2InAs
Method: DFT, GGA-PBE
State: optimized geometry

Cell: 10.382 10.382 10.382 Å, 17.85 17.85 17.85°
Fractional positions:
Cd1 0.000 0.000 0.000
Cd2 0.250 0.250 0.250
In1 0.497 0.497 0.497
As1 0.744 0.744 0.744

Calculated values
Energy relative to the lowest polymorph listed for this composition, kcal/mol of atoms: 1.556